Material: TaV4Zn
Method: DFT, PBE-GGA
State: relaxed

```
TaV4Zn
1.0
0.000 3.535 3.535
3.535 0.000 3.535
3.535 3.535 0.000
Ta V Zn
1 4 1
direct
0.000 0.000 0.000 Ta
0.116 0.628 0.628 V
0.628 0.116 0.628 V
0.628 0.628 0.116 V
0.628 0.628 0.628 V
0.250 0.250 0.250 Zn
```

Computed properties:
Its crystal system is cubic. Its total moment is 0.00 μB per cell. Its formation energy from the elements is 0.128 eV/atom. As for the space group: F-43m. As for the density of states at the Fermi level: 4.45 states/eV per cell.

***

Material: TaV2Zn2
Method: DFT, PBE-GGA
State: relaxed

```
TaV2Zn2
1.0
7.030 0.000 0.000
0.000 7.030 0.000
0.000 0.000 3.016
Ta V Zn
2 4 4
direct
0.000 0.000 0.000 Ta
0.500 0.500 0.000 Ta
0.179 0.321 0.500 V
0.321 0.821 0.500 V
0.679 0.179 0.500 V
0.821 0.679 0.500 V
0.121 0.621 0.000 Zn
0.379 0.121 0.000 Zn
0.621 0.879 0.000 Zn
0.879 0.379 0.000 Zn
```

Computed properties:
Its crystal system is tetragonal. Its total moment is 0.00 μB per cell. Its formation energy from the elements is 0.177 eV/atom. As for the space group: P4/mbm. As for the density of states at the Fermi level: 10.44 states/eV per cell.

***

Material: TaVZn4
Method: DFT, PBE-GGA
State: relaxed

```
TaVZn4
1.0
0.000 3.509 3.509
3.509 0.000 3.509
3.509 3.509 0.000
Ta V Zn
1 1 4
direct
0.000 0.000 0.000 Ta
0.750 0.750 0.750 V
0.375 0.375 0.375 Zn
0.375 0.375 0.874 Zn
0.375 0.874 0.375 Zn
0.874 0.375 0.375 Zn
```

Computed properties:
Its crystal system is cubic. Its total moment is 0.00 μB per cell. Its formation energy from the elements is 0.005 eV/atom. As for the space group: F-43m. As for the density of states at the Fermi level: 3.41 states/eV per cell.

***

Material: Ta2VZn
Method: DFT, PBE-GGA
State: relaxed

```
Ta2VZn
1.0
3.244 0.000 0.000
0.000 3.244 0.000
0.000 0.000 6.105
Ta V Zn
2 1 1
direct
0.000 0.000 0.241 Ta
0.000 0.000 0.759 Ta
0.500 0.500 0.000 V
0.500 0.500 0.500 Zn
```

Computed properties:
Its crystal system is tetragonal. Its total moment is 0.00 μB per cell. Its formation energy from the elements is 0.017 eV/atom. As for the space group: P4/mmm. As for the density of states at the Fermi level: 3.27 states/eV per cell.

***

Material: ZrTaV2
Method: DFT, PBE-GGA
State: relaxed

```
ZrTaV2
1.0
3.232 0.000 0.000
0.000 3.232 0.000
0.000 0.000 6.566
Zr Ta V
1 1 2
direct
0.000 0.000 0.000 Zr
0.000 0.000 0.500 Ta
0.500 0.500 0.278 V
0.500 0.500 0.722 V
```

Computed properties:
Its crystal system is tetragonal. Its total moment is 0.00 μB per cell. Its formation energy from the elements is 0.111 eV/atom. As for the space group: P4/mmm. As for the density of states at the Fermi level: 6.68 states/eV per cell.

***

Material: ZrTaV4
Method: DFT, PBE-GGA
State: relaxed

```
ZrTaV4
1.0
0.000 3.622 3.622
3.622 0.000 3.622
3.622 3.622 0.000
Zr Ta V
1 1 4
direct
0.000 0.000 0.000 Zr
0.750 0.750 0.750 Ta
0.375 0.375 0.375 V
0.375 0.375 0.875 V
0.375 0.875 0.375 V
0.875 0.375 0.375 V
```

Computed properties:
Its crystal system is cubic. Its total moment is 0.00 μB per cell. Its formation energy from the elements is -0.007 eV/atom. As for the space group: F-43m. As for the density of states at the Fermi level: 11.34 states/eV per cell.

***

Material: ZrTaV2
Method: DFT, PBE-GGA
State: relaxed

```
ZrTaV2
1.0
-3.551 3.551 2.816
3.551 -3.551 2.816
3.551 3.551 -2.816
Zr Ta V
2 2 4
direct
0.000 0.000 0.000 Zr
0.750 0.250 0.500 Zr
0.250 0.750 0.500 Ta
0.500 0.500 0.000 Ta
0.135 0.125 0.510 V
0.375 0.865 0.990 V
0.615 0.625 0.490 V
0.875 0.385 0.010 V
```

Computed properties:
Its crystal system is tetragonal. Its total moment is 0.00 μB per cell. Its formation energy from the elements is 0.653 eV/atom. As for the space group: I-42d. As for the density of states at the Fermi level: 11.11 states/eV per cell.

***

Material: ZrTaV2
Method: DFT, PBE-GGA
State: relaxed

```
ZrTaV2
1.0
4.587 0.000 0.000
0.000 4.587 0.000
0.000 0.000 3.233
Zr Ta V
1 1 2
direct
0.000 0.000 0.000 Zr
0.500 0.500 0.000 Ta
0.000 0.500 0.500 V
0.500 0.000 0.500 V
```

Computed properties:
Its crystal system is tetragonal. Its total moment is 2.01 μB per cell. Its formation energy from the elements is 0.159 eV/atom. As for the space group: P4/mmm. As for the density of states at the Fermi level: 7.34 states/eV per cell.